No. 1
## BaLiTlF6 (GGA-PBE)

Data for crystalline BaLiTlF6 at its relaxed geometry.

a b c (Å): 5.6198 5.6198 5.6961
angles (deg): 90.00 90.00 120.00
Fractional positions:
Ba 0.0000 0.0000 0.0000
Li 0.6667 0.3333 0.5000
Tl 0.3333 0.6667 0.5000
F 0.3764 0.0129 0.7119
F 0.3764 0.3634 0.2881
F 0.6366 0.0129 0.2881
F 0.6366 0.6236 0.7119
F 0.9871 0.3634 0.7119
F 0.9871 0.6236 0.2881

The space-group type is P312 (149). The uncorrected formation energy comes out at -24.96 eV/f.u. The value obtained for the density of states at the Fermi level is 0.0 states/eV per cell. The value obtained for the total energy is -42.4 eV for the cell shown.



No. 2
## CrPt2N (GGA-PBE)

Data for crystalline CrPt2N at its relaxed geometry.

a b c (Å): 6.6316 6.6316 6.6316
angles (deg): 136.37 136.37 63.41
Fractional positions:
Cr 0.0000 0.0000 0.0000
Cr 0.7500 0.2500 0.5000
Pt 0.2286 0.6250 0.1036
Pt 0.3750 0.4786 0.6036
Pt 0.5214 0.1250 0.8964
Pt 0.8750 0.7714 0.3964
N 0.2500 0.7500 0.5000
N 0.5000 0.5000 0.0000

The space-group type is I-42d (122). The uncorrected formation energy comes out at 2.68 eV/f.u. The value obtained for the density of states at the Fermi level is 2.0 states/eV per cell. The value obtained for the total energy is -54.7 eV for the cell shown.



No. 3
## LiLa2Ag (GGA-PBE)

Data for crystalline LiLa2Ag at its relaxed geometry.

a b c (Å): 3.8754 3.8881 7.6562
angles (deg): 90.00 90.00 90.00
Fractional positions:
Li 0.0000 0.0000 0.0000
La 0.5000 0.5000 0.2641
La 0.5000 0.5000 0.7359
Ag 0.0000 0.0000 0.5000

As for the relative energy among the computed polymorphs: 10 meV per atom. The space-group type is Pmmm (47). As for the formation enthalpy at 0 K: -0.069 eV per atom. The value obtained for the density of states at the Fermi level is 5.2 states/eV per cell. The value obtained for the total energy is -14.9 eV for the cell shown.



No. 4
## NiAgAs2 (GGA-PBE)

Data for crystalline NiAgAs2 at its relaxed geometry.

a b c (Å): 4.7116 4.7116 4.7116
angles (deg): 126.20 126.20 79.56
Fractional positions:
Ni 0.0000 0.0000 0.0000
Ag 0.5000 0.5000 0.0000
As 0.2500 0.7500 0.5000
As 0.7500 0.2500 0.5000

As for the relative energy among the computed polymorphs: 204 meV per atom. The space-group type is I4/mmm (139). As for the formation enthalpy at 0 K: 0.205 eV per atom. The value obtained for the density of states at the Fermi level is 1.4 states/eV per cell. The value obtained for the total energy is -17.1 eV for the cell shown.



No. 5
## CuGePb3 (GGA-PBE)

Data for crystalline CuGePb3 at its relaxed geometry.

a b c (Å): 5.2350 5.2350 5.2350
angles (deg): 90.00 90.00 90.00
Fractional positions:
Cu 0.0000 0.0000 0.0000
Ge 0.5000 0.5000 0.5000
Pb 0.0000 0.0000 0.5000
Pb 0.0000 0.5000 0.0000
Pb 0.5000 0.0000 0.0000

As for the relative energy among the computed polymorphs: 0 meV per atom. The space-group type is Pm-3m (221). As for the formation enthalpy at 0 K: 0.415 eV per atom. The value obtained for the density of states at the Fermi level is 2.5 states/eV per cell. The value obtained for the total energy is -17.8 eV for the cell shown.



No. 6
## La4Ho3Pu (GGA-PBE)

Data for crystalline La4Ho3Pu at its relaxed geometry.

a b c (Å): 8.9277 8.9277 8.9277
angles (deg): 157.37 98.62 85.82
Fractional positions:
La 0.1179 0.8712 0.2467
La 0.3756 0.1288 0.2467
La 0.6244 0.8712 0.7533
La 0.8821 0.1288 0.7533
Ho 0.2315 0.7315 0.5000
Ho 0.5000 0.5000 0.0000
Ho 0.7685 0.2685 0.5000
Pu 0.0000 0.0000 0.0000

The space-group type is Immm (71). As for the formation enthalpy at 0 K: 0.150 eV per atom. The value obtained for the density of states at the Fermi level is 18.5 states/eV per cell. The value obtained for the total energy is -46.6 eV for the cell shown.



No. 7
## TaAgAs2 (GGA-PBE)

Data for crystalline TaAgAs2 at its relaxed geometry.

a b c (Å): 7.1049 7.1049 7.1049
angles (deg): 154.24 149.47 40.36
Fractional positions:
Ta 0.0000 0.0000 0.0000
Ag 0.7688 0.2688 0.5000
As 0.1601 0.6601 0.5000
As 0.4283 0.4283 0.0000

The space-group type is Imm2 (44). As for the formation enthalpy at 0 K: 0.022 eV per atom. The value obtained for the density of states at the Fermi level is 1.6 states/eV per cell. The value obtained for the total energy is -23.9 eV for the cell shown.



No. 8
## KCN2 (GGA-PBE)

Data for crystalline KCN2 at its relaxed geometry.

a b c (Å): 6.4605 3.9314 5.6115
angles (deg): 90.00 90.00 90.00
Fractional positions:
K 0.2500 0.0000 0.2442
K 0.7500 0.0000 0.7558
C 0.2500 0.5000 0.7081
C 0.7500 0.5000 0.2919
N 0.0583 0.5000 0.7122
N 0.4417 0.5000 0.7122
N 0.5583 0.5000 0.2878
N 0.9417 0.5000 0.2878

As for the relative energy among the computed polymorphs: 39 meV per atom. The space-group type is Pmma (51). The uncorrected formation energy comes out at 0.31 eV/f.u. The value obtained for the density of states at the Fermi level is 4.6 states/eV per cell. The value obtained for the total energy is -53.3 eV for the cell shown.



No. 9
## DyTmS3 (GGA-PBE)

Data for crystalline DyTmS3 at its relaxed geometry.

a b c (Å): 7.6913 3.8560 7.7110
angles (deg): 90.00 94.68 90.00
Fractional positions:
Dy 0.1188 0.2500 0.2700
Dy 0.8812 0.7500 0.7300
Tm 0.3539 0.7500 0.8199
Tm 0.6461 0.2500 0.1801
S 0.1225 0.2500 0.8869
S 0.1797 0.7500 0.5190
S 0.3975 0.7500 0.1791
S 0.6025 0.2500 0.8209
S 0.8203 0.2500 0.4810
S 0.8775 0.7500 0.1131

The space-group type is P2_1/m (11). The uncorrected formation energy comes out at -10.21 eV/f.u. The value obtained for the total energy is -63.3 eV for the cell shown.



No. 10
## MnIn2NCl (GGA-PBE)

Data for crystalline MnIn2NCl at its relaxed geometry.

a b c (Å): 5.3128 5.3128 3.5611
angles (deg): 90.00 90.00 90.00
Fractional positions:
Mn 0.0000 0.0000 0.0000
In 0.0000 0.5000 0.0000
In 0.5000 0.0000 0.0000
N 0.0000 0.0000 0.5000
Cl 0.5000 0.5000 0.5000

The space-group type is P4/mmm (123). The uncorrected formation energy comes out at -0.39 eV/f.u. The value obtained for the density of states at the Fermi level is 4.5 states/eV per cell. The value obtained for the total energy is -25.2 eV for the cell shown.



No. 11
## TbEr4Ir4 (GGA-PBE)

Data for crystalline TbEr4Ir4 at its relaxed geometry.

a b c (Å): 8.8301 8.8301 5.6177
angles (deg): 90.00 90.00 90.00
Fractional positions:
Tb 0.2500 0.2500 0.2500
Tb 0.7500 0.7500 0.7500
Er 0.0791 0.6596 0.1395
Er 0.1596 0.9209 0.6395
Er 0.3404 0.5791 0.6395
Er 0.4209 0.8404 0.1395
Er 0.5791 0.1596 0.8605
Er 0.6596 0.4209 0.3605
Er 0.8404 0.0791 0.3605
Er 0.9209 0.3404 0.8605
Ir 0.0289 0.6185 0.6409
Ir 0.1185 0.9711 0.1409
Ir 0.3815 0.5289 0.1409
Ir 0.4711 0.8815 0.6409
Ir 0.5289 0.1185 0.3591
Ir 0.6185 0.4711 0.8591
Ir 0.8815 0.0289 0.8591
Ir 0.9711 0.3815 0.3591

The space-group type is P4_2/n (86). As for the formation enthalpy at 0 K: -0.670 eV per atom. The value obtained for the density of states at the Fermi level is 10.1 states/eV per cell. The value obtained for the total energy is -128.7 eV for the cell shown.



No. 12
## Li3Tm3TaSe8 (GGA-PBE)

Data for crystalline Li3Tm3TaSe8 at its relaxed geometry.

a b c (Å): 7.9533 7.9533 7.9533
angles (deg): 59.42 59.42 59.42
Fractional positions:
Li 0.0000 0.5000 0.5000
Li 0.5000 0.0000 0.5000
Li 0.5000 0.5000 0.0000
Tm 0.0000 0.0000 0.5000
Tm 0.0000 0.5000 0.0000
Tm 0.5000 0.0000 0.0000
Ta 0.5000 0.5000 0.5000
Se 0.2514 0.2514 0.2514
Se 0.2626 0.2626 0.7337
Se 0.2626 0.7337 0.2626
Se 0.2663 0.7374 0.7374
Se 0.7337 0.2626 0.2626
Se 0.7374 0.2663 0.7374
Se 0.7374 0.7374 0.2663
Se 0.7486 0.7486 0.7486

The space-group type is R-3m (166). The uncorrected formation energy comes out at -21.88 eV/f.u. The value obtained for the density of states at the Fermi level is 3.8 states/eV per cell. The value obtained for the total energy is -80.8 eV for the cell shown.



No. 13
## Mg2In2Pt (GGA-PBE)

Data for crystalline Mg2In2Pt at its relaxed geometry.

a b c (Å): 7.0450 7.0450 4.4262
angles (deg): 90.00 90.00 90.00
Fractional positions:
Mg 0.1657 0.3343 0.0000
Mg 0.3343 0.8343 0.0000
Mg 0.6657 0.1657 0.0000
Mg 0.8343 0.6657 0.0000
In 0.1440 0.6440 0.5000
In 0.3560 0.1440 0.5000
In 0.6440 0.8560 0.5000
In 0.8560 0.3560 0.5000
Pt 0.0000 0.0000 0.5000
Pt 0.5000 0.5000 0.5000

As for the relative energy among the computed polymorphs: 0 meV per atom. The space-group type is P4/mbm (127). As for the formation enthalpy at 0 K: -0.182 eV per atom. The value obtained for the density of states at the Fermi level is 3.8 states/eV per cell. The value obtained for the total energy is -31.2 eV for the cell shown.



No. 14
## RbLiAgF6 (GGA-PBE)

Data for crystalline RbLiAgF6 at its relaxed geometry.

a b c (Å): 5.3813 5.3813 6.1840
angles (deg): 90.43 90.43 118.11
Fractional positions:
Rb 0.0000 0.0000 0.0000
Li 0.3219 0.6781 0.5000
Ag 0.6645 0.3355 0.5000
F 0.0068 0.6259 0.3050
F 0.3741 0.3635 0.3221
F 0.3741 0.9932 0.6950
F 0.6365 0.6259 0.6779
F 0.6392 0.0178 0.3225
F 0.9822 0.3608 0.6775

The space-group type is C2 (5). The uncorrected formation energy comes out at -16.26 eV/f.u. The value obtained for the density of states at the Fermi level is 0.7 states/eV per cell. The value obtained for the total energy is -33.2 eV for the cell shown.



No. 15
## LiPCl2 (GGA-PBE)

Data for crystalline LiPCl2 at its relaxed geometry.

a b c (Å): 3.4503 3.4503 7.8149
angles (deg): 90.00 90.00 123.49
Fractional positions:
Li 0.0000 0.0000 0.0000
P 0.0000 0.0000 0.5000
Cl 0.5000 0.5000 0.2205
Cl 0.5000 0.5000 0.7795

As for the relative energy among the computed polymorphs: 343 meV per atom. The space-group type is Cmmm (65). The uncorrected formation energy comes out at -1.26 eV/f.u. The value obtained for the density of states at the Fermi level is 1.5 states/eV per cell. The value obtained for the total energy is -12.3 eV for the cell shown.



No. 16
## LiGdZnPd (GGA-PBE)

Data for crystalline LiGdZnPd at its relaxed geometry.

a b c (Å): 4.7189 4.7189 4.7189
angles (deg): 60.00 60.00 60.00
Fractional positions:
Li 0.0000 0.0000 0.0000
Gd 0.2500 0.2500 0.2500
Zn 0.7500 0.7500 0.7500
Pd 0.5000 0.5000 0.5000

The space-group type is F-43m (216). As for the formation enthalpy at 0 K: -0.428 eV per atom. The value obtained for the density of states at the Fermi level is 4.1 states/eV per cell. The value obtained for the total energy is -24.2 eV for the cell shown.



No. 17
## CuIr2Pt (GGA-PBE)

Data for crystalline CuIr2Pt at its relaxed geometry.

a b c (Å): 4.3437 4.3437 4.3437
angles (deg): 60.00 60.00 60.00
Fractional positions:
Cu 0.0000 0.0000 0.0000
Ir 0.2500 0.2500 0.2500
Ir 0.7500 0.7500 0.7500
Pt 0.5000 0.5000 0.5000

As for the relative energy among the computed polymorphs: 315 meV per atom. The space-group type is Fm-3m (225). As for the formation enthalpy at 0 K: 0.319 eV per atom. The value obtained for the density of states at the Fermi level is 8.8 states/eV per cell. The value obtained for the total energy is -26.6 eV for the cell shown.



No. 18
## LaBe2Bi (GGA-PBE)

Data for crystalline LaBe2Bi at its relaxed geometry.

a b c (Å): 9.7674 9.7674 9.7674
angles (deg): 152.71 152.71 38.98
Fractional positions:
La 0.3750 0.6250 0.7500
La 0.6250 0.3750 0.2500
Be 0.0000 0.0000 0.0000
Be 0.0000 0.0000 0.5000
Be 0.0000 0.5000 0.0000
Be 0.5000 0.0000 0.5000
Bi 0.1250 0.8750 0.2500
Bi 0.8750 0.1250 0.7500

As for the relative energy among the computed polymorphs: 0 meV per atom. The space-group type is I4_1/amd (141). As for the formation enthalpy at 0 K: 0.195 eV per atom. The value obtained for the density of states at the Fermi level is 4.1 states/eV per cell. The value obtained for the total energy is -31.0 eV for the cell shown.



No. 19
## Dy4NiBr5 (GGA-PBE)

Data for crystalline Dy4NiBr5 at its relaxed geometry.

a b c (Å): 10.6089 10.6089 8.4145
angles (deg): 90.51 90.51 21.39
Fractional positions:
Dy 0.0001 0.0001 0.2133
Dy 0.9999 0.9999 0.7867
Dy 0.3752 0.3752 0.9973
Dy 0.6248 0.6248 0.0027
Ni 0.5000 0.5000 0.0000
Br 0.1521 0.1521 0.2457
Br 0.1525 0.1525 0.7613
Br 0.5000 0.5000 0.5000
Br 0.8475 0.8475 0.2387
Br 0.8479 0.8479 0.7543

As for the relative energy among the computed polymorphs: 30 meV per atom. The space-group type is C2/m (12). The uncorrected formation energy comes out at -13.27 eV/f.u. The value obtained for the density of states at the Fermi level is 3.2 states/eV per cell. The value obtained for the total energy is -45.8 eV for the cell shown.